PmSm5Er3: optimized geometry, PBE-GGA.

Output
Fermi-level density of states = 26.09 states/eV per cell
Distance to the lowest polymorph of the same formula = 0.0 meV per atom
Symmetry = C2/c
Uncorrected energy = -0.1641 Ha/atom
ΔE_f = 0.205 eV per atom

a = 6.7141 Å, b = 8.7540 Å, c = 11.9336 Å
α = 72.31°, β = 90.00°, γ = 112.55°
Element x y z (fractional)
Pm 0.7003 0.0000 0.7500
Pm 0.2997 0.0000 0.2500
Sm 0.2107 0.0000 0.7500
Sm 0.7694 0.6306 0.9510
Sm 0.9159 0.4342 0.2367
Sm 0.2306 0.3694 0.0490
Sm 0.4817 0.5658 0.2633
Sm 0.7893 0.0000 0.2500
Sm 0.8612 0.6306 0.4510
Sm 0.1388 0.3694 0.5490
Sm 0.5183 0.4342 0.7367
Sm 0.0841 0.5658 0.7633
Er 0.0000 0.0000 0.0000
Er 0.5583 0.2096 0.4857
Er 0.0000 0.0000 0.5000
Er 0.4417 0.7904 0.5143
Er 0.6513 0.2096 0.9857
Er 0.3487 0.7904 0.0143

Hf2FeCuBi: optimized geometry, PBE-GGA.

Output
Fermi-level density of states = 5.03 states/eV per cell
Symmetry = P4/mmm
Uncorrected energy = -0.2491 Ha/atom
ΔE_f = 0.492 eV per atom

a = 4.8483 Å, b = 4.4237 Å, c = 4.8483 Å
α = 90.00°, β = 90.00°, γ = 90.00°
Each line ends with the local moment (μB).
Element x y z (fractional)
Hf 0.0000 0.0000 0.5000  0.01
Hf 0.5000 0.0000 0.0000  -0.01
Bi 0.5000 0.5000 0.5000  0.02
Cu 0.0000 0.0000 0.0000  0.09
Fe 0.0000 0.5000 0.0000  2.75

Al5Os4Rh: optimized geometry, PBE-GGA.

Output
Fermi-level density of states = 8.58 states/eV per cell
Symmetry = P4/mmm
Uncorrected energy = -0.2802 Ha/atom
ΔE_f = -0.528 eV per atom

a = 3.0213 Å, b = 3.0213 Å, c = 15.0285 Å
α = 90.00°, β = 90.00°, γ = 90.00°
Element x y z (fractional)
Al 0.5000 0.5000 0.1017
Al 0.5000 0.5000 0.2996
Al 0.5000 0.5000 0.5000
Al 0.5000 0.5000 0.7004
Al 0.5000 0.5000 0.8983
Os 0.0000 0.0000 0.2001
Os 0.0000 0.0000 0.4005
Os 0.0000 0.0000 0.5995
Os 0.0000 0.0000 0.7999
Rh 0.0000 0.0000 0.0000

Ba2TlZnPd: optimized geometry, PBE-GGA.

Output
Fermi-level density of states = 3.83 states/eV per cell
Distance to the lowest polymorph of the same formula = 93.8 meV per atom
Symmetry = P4/mmm
Uncorrected energy = -0.1010 Ha/atom
ΔE_f = -0.212 eV per atom

a = 6.1283 Å, b = 6.1283 Å, c = 5.2603 Å
α = 90.00°, β = 90.00°, γ = 90.00°
Element x y z (fractional)
Zn 0.5000 0.5000 0.5000
Tl 0.0000 0.0000 0.5000
Ba 0.0000 0.5000 0.0000
Ba 0.5000 0.0000 0.0000
Pd 0.0000 0.0000 0.0000

Ce2TmGa: optimized geometry, PBE-GGA.

Output
Fermi-level density of states = 9.14 states/eV per cell
Distance to the lowest polymorph of the same formula = 102.8 meV per atom
Symmetry = P4/mmm
Uncorrected energy = -0.1844 Ha/atom
ΔE_f = -0.177 eV per atom

a = 3.8917 Å, b = 3.8917 Å, c = 7.1129 Å
α = 90.00°, β = 90.00°, γ = 90.00°
Element x y z (fractional)
Tm 0.5000 0.5000 0.5000
Ga 0.5000 0.5000 0.0000
Ce 0.0000 0.0000 0.8032
Ce 0.0000 0.0000 0.1968

Nd4SiSeCl2: optimized geometry, PBE-GGA.

Output
Fermi-level density of states = 3.32 states/eV per cell
Symmetry = P2/m
Formation energy without anion corrections = -1419 meV/atom
Uncorrected energy = -0.1977 Ha/atom

a = 4.2359 Å, b = 7.2476 Å, c = 7.3823 Å
α = 70.18°, β = 90.00°, γ = 90.00°
Element x y z (fractional)
Nd 0.0000 0.7282 0.7409
Nd 0.0000 0.2718 0.2591
Nd 0.5000 0.7257 0.2713
Nd 0.5000 0.2743 0.7287
Si 0.0000 0.5000 0.5000
Se 0.5000 0.5000 0.0000
Cl 0.0000 0.0000 0.0000
Cl 0.5000 0.0000 0.5000